VASP calculation (PBE) on a relaxed SrIr2Os crystal.

Output
crystal system: orthorhombic
magnetic moment: 1.39 μB per cell
ΔE_f: 0.83 eV/atom
polymorph energy (0 for the lowest one): 584.3 meV per atom
calculated total energy: -6.827 eV per atom

Cell: 2.8459 5.0759 4.8954 Å, 90.00 90.00 90.00°
Last column: nearest neighbours and their distance in Å.
Fractional coordinates of all 4 atoms:
Ir: 0.0000 0.0000 0.0000  4 Os 2.83, 6 Ir 2.85-2.91
Ir: 0.5000 0.5000 0.0000  4 Sr 2.83, 6 Ir 2.85-2.91
Sr: 0.0000 0.5000 0.5000  4 Ir 2.83, 2 Sr 2.85, 4 Os 2.91
Os: 0.5000 0.0000 0.5000  4 Ir 2.83, 2 Os 2.85, 4 Sr 2.91

=====

VASP calculation (PBE) on a relaxed Sr2Ir2Os crystal.

Output
crystal system: tetragonal
magnetic moment: 0.00 μB per cell
ΔE_f: 0.08 eV/atom
polymorph energy (0 for the lowest one): 0.0 meV per atom
calculated total energy: -6.384 eV per atom

Cell: 6.6573 6.6573 4.9972 Å, 90.00 90.00 90.00°
Last column: nearest neighbours and their distance in Å.
Fractional coordinates of all 10 atoms:
Ir: 0.3634 0.8634 0.0000  1 Ir 2.57, 2 Os 2.58
Ir: 0.8634 0.6366 0.0000  1 Ir 2.57, 2 Os 2.58
Ir: 0.6366 0.1366 0.0000  1 Ir 2.57, 2 Os 2.58
Ir: 0.1366 0.3634 0.0000  1 Ir 2.57, 2 Os 2.58
Os: 0.0000 0.0000 0.0000  4 Ir 2.58
Os: 0.5000 0.5000 0.0000  4 Ir 2.58
Sr: 0.6805 0.8195 0.5000  6 Ir 3.03-3.28, 1 Sr 3.40
Sr: 0.8195 0.3195 0.5000  6 Ir 3.03-3.28, 1 Sr 3.40
Sr: 0.1805 0.6805 0.5000  6 Ir 3.03-3.28, 1 Sr 3.40
Sr: 0.3195 0.1805 0.5000  6 Ir 3.03-3.28, 1 Sr 3.40

=====

VASP calculation (PBE) on a relaxed SrIrOs2 crystal.

Output
crystal system: monoclinic
magnetic moment: 0.00 μB per cell
ΔE_f: 0.82 eV/atom
polymorph energy (0 for the lowest one): 377.1 meV per atom
calculated total energy: -7.433 eV per atom

Cell: 4.6207 2.8615 5.8142 Å, 78.42 90.00 90.00°
Last column: nearest neighbours and their distance in Å.
Fractional coordinates of all 4 atoms:
Sr: 0.5000 0.2500 0.2500  2 Sr 2.86, 2 Ir 2.97, 4 Os 3.18
Os: 0.0000 0.9379 0.9351  2 Os 2.51-2.59, 2 Ir 2.65
Os: 0.0000 0.5621 0.5649  2 Os 2.51-2.59, 2 Ir 2.65
Ir: 0.5000 0.7500 0.7500  4 Os 2.65, 2 Ir 2.86

=====

VASP calculation (PBE) on a relaxed SrIrOs2 crystal.

Output
crystal system: tetragonal
magnetic moment: 0.00 μB per cell
ΔE_f: 0.65 eV/atom
polymorph energy (0 for the lowest one): 206.5 meV per atom
calculated total energy: -7.604 eV per atom

Cell: 2.8163 2.8163 8.8384 Å, 90.00 90.00 90.00°
Last column: nearest neighbours and their distance in Å.
Fractional coordinates of all 4 atoms:
Os: 0.0000 0.0000 0.5427  4 Ir 2.71, 4 Os 2.82
Os: 0.0000 0.0000 0.9573  4 Ir 2.71, 4 Os 2.82
Sr: 0.5000 0.5000 0.2500  4 Sr 2.82
Ir: 0.5000 0.5000 0.7500  8 Os 2.71, 4 Ir 2.82

=====

VASP calculation (PBE) on a relaxed SrIrOs2 crystal.

Output
crystal system: tetragonal
magnetic moment: 0.00 μB per cell
ΔE_f: 1.05 eV/atom
polymorph energy (0 for the lowest one): 608.6 meV per atom
calculated total energy: -7.202 eV per atom

Cell: 4.4618 3.9804 3.9804 Å, 90.00 90.00 90.00°
Last column: nearest neighbours and their distance in Å.
Fractional coordinates of all 4 atoms:
Os: 0.0000 0.5000 0.5000  4 Os 2.81, 4 Sr 2.99, 4 Ir 2.99
Os: 0.0000 0.0000 0.0000  4 Os 2.81, 4 Sr 2.99, 4 Ir 2.99
Ir: 0.5000 0.0000 0.5000  4 Sr 2.81, 8 Os 2.99
Sr: 0.5000 0.5000 0.0000  4 Ir 2.81, 8 Os 2.99

=====

VASP calculation (PBE) on a relaxed SrIr2Os crystal.

Output
crystal system: trigonal
magnetic moment: 0.00 μB per cell
ΔE_f: 0.65 eV/atom
polymorph energy (0 for the lowest one): 398.1 meV per atom
calculated total energy: -7.013 eV per atom

Cell: 9.8363 9.8363 9.8363 Å, 16.73 16.73 16.73°
Last column: nearest neighbours and their distance in Å.
Fractional coordinates of all 4 atoms:
Ir: 0.9894 0.9894 0.9894  3 Os 2.68, 6 Ir 2.86
Ir: 0.5106 0.5106 0.5106  3 Os 2.68, 6 Ir 2.86
Os: 0.2500 0.2500 0.2500  6 Ir 2.68, 6 Os 2.86
Sr: 0.7500 0.7500 0.7500  6 Sr 2.86, 6 Ir 3.19

=====

VASP calculation (PBE) on a relaxed Sr2IrOs crystal.

Output
crystal system: orthorhombic
magnetic moment: 0.15 μB per cell
ΔE_f: 0.73 eV/atom
polymorph energy (0 for the lowest one): 664.9 meV per atom
calculated total energy: -5.135 eV per atom

Cell: 5.6299 5.6299 2.9203 Å, 90.00 90.00 103.66°
Last column: nearest neighbours and their distance in Å.
Fractional coordinates of all 4 atoms:
Sr: 0.5000 0.5000 0.0000  2 Sr 2.92, 4 Ir 3.17, 4 Os 3.17
Sr: 0.0000 0.0000 0.0000  2 Sr 2.92, 4 Os 3.17, 4 Ir 3.17
Ir: 0.5000 0.0000 0.5000  2 Ir 2.92, 8 Sr 3.17
Os: 0.0000 0.5000 0.5000  2 Os 2.92, 8 Sr 3.17

=====

VASP calculation (PBE) on a relaxed SrIr2Os crystal.

Output
crystal system: tetragonal
magnetic moment: 0.00 μB per cell
ΔE_f: 0.25 eV/atom
polymorph energy (0 for the lowest one): 0.0 meV per atom
calculated total energy: -7.411 eV per atom

Cell: 2.8980 2.8980 8.4199 Å, 90.00 90.00 89.99°
Last column: nearest neighbours and their distance in Å.
Fractional coordinates of all 4 atoms:
Ir: 0.0000 0.0000 0.0457  4 Os 2.68, 4 Ir 2.90
Ir: 0.0000 0.0000 0.4543  4 Os 2.68, 4 Ir 2.90
Sr: 0.5000 0.5000 0.7500  4 Sr 2.90, 8 Ir 3.22
Os: 0.5000 0.5000 0.2500  8 Ir 2.68, 4 Os 2.90

=====

VASP calculation (PBE) on a relaxed Sr2IrOs2 crystal.

Output
crystal system: tetragonal
magnetic moment: 0.00 μB per cell
ΔE_f: 0.30 eV/atom
polymorph energy (0 for the lowest one): 0.0 meV per atom
calculated total energy: -6.634 eV per atom

Cell: 6.6524 6.6524 5.0565 Å, 90.00 90.00 90.00°
Last column: nearest neighbours and their distance in Å.
Fractional coordinates of all 10 atoms:
Ir: 0.0000 0.0000 0.0000  4 Os 2.63
Ir: 0.5000 0.5000 0.0000  4 Os 2.63
Os: 0.3754 0.8754 0.0000  1 Os 2.35
Os: 0.8754 0.6246 0.0000  1 Os 2.35
Os: 0.1246 0.3754 0.0000  1 Os 2.35
Os: 0.6246 0.1246 0.0000  1 Os 2.35
Sr: 0.3185 0.1815 0.5000  6 Os 3.12-3.27, 5 Sr 3.42-3.45
Sr: 0.6815 0.8185 0.5000  6 Os 3.12-3.27, 5 Sr 3.42-3.45
Sr: 0.1815 0.6815 0.5000  6 Os 3.12-3.27, 5 Sr 3.42-3.45
Sr: 0.8185 0.3185 0.5000  6 Os 3.12-3.27, 5 Sr 3.42-3.45

=====

VASP calculation (PBE) on a relaxed SrIr2Os crystal.

Output
crystal system: monoclinic
magnetic moment: 0.00 μB per cell
ΔE_f: 0.41 eV/atom
polymorph energy (0 for the lowest one): 160.4 meV per atom
calculated total energy: -7.251 eV per atom

Cell: 4.9282 4.9282 5.7910 Å, 79.06 79.06 33.90°
Last column: nearest neighbours and their distance in Å.
Fractional coordinates of all 4 atoms:
Sr: 0.2494 0.2494 0.2393  2 Sr 2.87, 5 Ir 3.01-3.12
Os: 0.4813 0.4813 0.6000  5 Ir 2.54-2.75
Ir: 0.0190 0.0190 0.9452  2 Os 2.54, 2 Ir 2.73
Ir: 0.7503 0.7503 0.7155  3 Os 2.58-2.75, 4 Ir 2.73-2.87

=====

VASP calculation (PBE) on a relaxed SrIrOs3 crystal.

Output
crystal system: cubic
magnetic moment: 0.00 μB per cell
ΔE_f: 1.60 eV/atom
polymorph energy (0 for the lowest one): 0.0 meV per atom
calculated total energy: -7.248 eV per atom

Cell: 4.8109 4.8109 4.8109 Å, 90.00 90.00 90.00°
Last column: nearest neighbours and their distance in Å.
Fractional coordinates of all 5 atoms:
Sr: 0.5000 0.5000 0.5000  12 Os 3.40
Ir: 0.0000 0.0000 0.0000  6 Os 2.41
Os: 0.0000 0.0000 0.5000  2 Ir 2.41
Os: 0.0000 0.5000 0.0000  2 Ir 2.41
Os: 0.5000 0.0000 0.0000  2 Ir 2.41

=====

VASP calculation (PBE) on a relaxed SrIrOs2 crystal.

Output
crystal system: monoclinic
magnetic moment: 0.00 μB per cell
ΔE_f: 0.53 eV/atom
polymorph energy (0 for the lowest one): 94.3 meV per atom
calculated total energy: -7.716 eV per atom

Cell: 4.3442 2.8095 6.3275 Å, 77.32 90.00 90.00°
Last column: nearest neighbours and their distance in Å.
Fractional coordinates of all 4 atoms:
Sr: 0.0000 0.5505 0.5202  2 Sr 2.81, 1 Os 3.03, 4 Ir 3.09
Os: 0.0000 0.7999 0.0291  2 Ir 2.61, 6 Os 2.70-2.81
Os: 0.5000 0.2354 0.1561  2 Ir 2.64, 6 Os 2.70-2.81
Ir: 0.5000 0.9142 0.7945  4 Os 2.61-2.64, 2 Ir 2.81

=====

VASP calculation (PBE) on a relaxed SrIr2Os crystal.

Output
crystal system: monoclinic
magnetic moment: 0.00 μB per cell
ΔE_f: 0.44 eV/atom
polymorph energy (0 for the lowest one): 189.8 meV per atom
calculated total energy: -7.221 eV per atom

Cell: 4.6650 4.6650 6.3096 Å, 81.84 81.84 35.08°
Last column: nearest neighbours and their distance in Å.
Fractional coordinates of all 4 atoms:
Os: 0.7500 0.7500 0.7500  6 Ir 2.65-2.68, 2 Os 2.81
Ir: 0.0091 0.0091 0.9196  4 Ir 2.59-2.81, 3 Os 2.65-2.68
Ir: 0.4909 0.4909 0.5804  4 Ir 2.59-2.81, 3 Os 2.65-2.68
Sr: 0.2500 0.2500 0.2500  2 Sr 2.81

=====

VASP calculation (PBE) on a relaxed SrIrOs2 crystal.

Output
crystal system: orthorhombic
magnetic moment: 0.00 μB per cell
ΔE_f: 0.74 eV/atom
polymorph energy (0 for the lowest one): 298.0 meV per atom
calculated total energy: -7.512 eV per atom

Cell: 5.8638 5.8638 5.8638 Å, 151.96 129.92 58.38°
Last column: nearest neighbours and their distance in Å.
Fractional coordinates of all 4 atoms:
Sr: 0.4991 0.4991 0.0000  2 Sr 2.84, 4 Os 2.86
Ir: 0.2178 0.7178 0.5000  6 Os 2.67-2.94, 2 Ir 2.84
Os: 0.9967 0.9967 0.0000  4 Os 2.58-2.84, 2 Ir 2.67, 4 Sr 2.86
Os: 0.7863 0.2863 0.5000  4 Os 2.58-2.84

=====

VASP calculation (PBE) on a relaxed Sr2IrOs crystal.

Output
crystal system: trigonal
magnetic moment: 0.12 μB per cell
ΔE_f: 0.90 eV/atom
polymorph energy (0 for the lowest one): 841.1 meV per atom
calculated total energy: -4.959 eV per atom

Cell: 9.7127 9.7127 9.7127 Å, 19.45 19.45 19.45°
Last column: nearest neighbours and their distance in Å.
Fractional coordinates of all 4 atoms:
Os: 0.7500 0.7500 0.7500  6 Sr 3.06, 6 Os 3.28
Ir: 0.2500 0.2500 0.2500  6 Sr 3.02, 6 Ir 3.28
Sr: 0.5009 0.5009 0.5009  3 Ir 3.02, 3 Os 3.06, 6 Sr 3.28
Sr: 0.9991 0.9991 0.9991  3 Ir 3.02, 3 Os 3.06, 6 Sr 3.28